(1)
Below is an optimized crystal structure of RbDy2Zr2O7, with properties calculated at the PBE level.

Summary:
The total magnetization comes out at 0.0 μB per formula unit. As for the formation energy (no corrections): -2.985 eV per atom.

abc: 4.3358 4.5606 9.8115
angles: 103.44 102.77 90.00
Positions (direct):
1 Dy 0.7398 0.2404 0.4797
2 Dy 0.2602 0.7608 0.5203
3 O 0.1290 0.6231 0.2581
4 O 0.3806 0.8628 0.7612
5 O 0.2691 0.2691 0.5381
6 O 0.7309 0.7310 0.4619
7 O 0.5000 0.5022 0.0000
8 O 0.6194 0.1016 0.2388
9 O 0.8710 0.3650 0.7419
10 Zr 0.3911 0.4070 0.7821
11 Zr 0.6089 0.6249 0.2179
12 Rb 0.0000 0.0117 0.0000



(2)
Below is an optimized crystal structure of Dy4Re6O19, with properties calculated at the PBE level.

Summary:
The total magnetization comes out at 0.0 μB per formula unit. As for the formation energy (no corrections): -2.173 eV per atom.

abc: 7.7891 7.7891 7.7891
angles: 109.47 109.47 109.47
Positions (direct):
1 O 0.3148 0.3148 0.0000
2 O 0.2595 0.9449 0.6416
3 O 0.6968 0.0551 0.3146
4 O 0.6178 0.3584 0.3032
5 O 0.3822 0.6854 0.7405
6 O 0.9449 0.6416 0.2595
7 O 0.0000 0.0000 0.0000
8 O 0.6852 0.6852 0.0000
9 O 0.0000 0.3148 0.3148
10 O 0.7405 0.3822 0.6854
11 O 0.0000 0.6852 0.6852
12 O 0.6416 0.2595 0.9449
13 O 0.6852 0.0000 0.6852
14 O 0.6854 0.7405 0.3822
15 O 0.3148 0.0000 0.3148
16 O 0.3146 0.6968 0.0551
17 O 0.3584 0.3032 0.6178
18 O 0.0551 0.3146 0.6968
19 O 0.3032 0.6178 0.3584
20 Re 0.5000 0.1345 0.6345
21 Re 0.5000 0.8655 0.3655
22 Re 0.1345 0.6345 0.5000
23 Re 0.3655 0.5000 0.8655
24 Re 0.6345 0.5000 0.1345
25 Re 0.8655 0.3655 0.5000
26 Dy 0.0000 0.0000 0.7074
27 Dy 0.7074 0.0000 0.0000
28 Dy 0.2926 0.2926 0.2926
29 Dy 0.0000 0.7074 0.0000



(3)
Below is an optimized crystal structure of Dy12Re3O5, with properties calculated at the PBE level.

Summary:
The total magnetization comes out at 0.0 μB per formula unit. As for the formation energy (no corrections): -1.367 eV per atom.

abc: 13.1359 13.1359 13.1359
angles: 109.47 109.47 109.47
Positions (direct):
1 Dy 0.1218 0.4149 0.0976
2 Dy 0.0976 0.9149 0.1218
3 Dy 0.8782 0.2931 0.4758
4 Dy 0.5242 0.3173 0.9024
5 Dy 0.7931 0.4758 0.3782
6 Dy 0.9024 0.0851 0.8782
7 Dy 0.0851 0.9024 0.3782
8 Dy 0.4024 0.0242 0.3173
9 Dy 0.8173 0.9024 0.0242
10 Dy 0.2069 0.6827 0.0851
11 Dy 0.4149 0.1218 0.5976
12 Dy 0.6827 0.2069 0.5851
13 Dy 0.4149 0.2931 0.3173
14 Dy 0.1218 0.7069 0.5242
15 Dy 0.3782 0.4024 0.0851
16 Dy 0.7069 0.5851 0.1827
17 Dy 0.5976 0.9758 0.6827
18 Dy 0.9758 0.5976 0.1827
19 Dy 0.9758 0.3782 0.2931
20 Dy 0.2069 0.5242 0.6218
21 Dy 0.7069 0.1218 0.0242
22 Dy 0.9149 0.8173 0.7931
23 Dy 0.9024 0.8173 0.5242
24 Dy 0.4024 0.3782 0.5851
25 Dy 0.0242 0.6218 0.7069
26 Dy 0.5242 0.2069 0.1218
27 Dy 0.9149 0.0976 0.6218
28 Dy 0.3782 0.9758 0.7931
29 Dy 0.6827 0.4758 0.5976
30 Dy 0.6218 0.0242 0.2069
31 Dy 0.2931 0.4149 0.8173
32 Dy 0.5851 0.8782 0.4024
33 Dy 0.8173 0.9149 0.2931
34 Dy 0.6218 0.5976 0.9149
35 Dy 0.4758 0.7931 0.8782
36 Dy 0.5976 0.6218 0.4149
37 Dy 0.2931 0.8782 0.9758
38 Dy 0.1827 0.0851 0.7069
39 Dy 0.3173 0.7931 0.4149
40 Dy 0.0242 0.4024 0.8173
41 Dy 0.4758 0.6827 0.0976
42 Dy 0.3173 0.5242 0.4024
43 Dy 0.7931 0.3173 0.9149
44 Dy 0.8782 0.5851 0.9024
45 Dy 0.0851 0.1827 0.2069
46 Dy 0.5851 0.7069 0.6827
47 Dy 0.0976 0.1827 0.4758
48 Dy 0.1827 0.0976 0.9758
49 Re 0.8750 0.7500 0.1250
50 Re 0.8750 0.1250 0.2500
51 Re 0.1250 0.2500 0.8750
52 Re 0.6250 0.2500 0.3750
53 Re 0.2500 0.6250 0.8750
54 Re 0.7500 0.8750 0.6250
55 Re 0.3750 0.6250 0.2500
56 Re 0.7500 0.3750 0.1250
57 Re 0.2500 0.1250 0.3750
58 Re 0.3750 0.7500 0.6250
59 Re 0.1250 0.8750 0.7500
60 Re 0.6250 0.3750 0.7500
61 O 0.7500 0.6250 0.3750
62 O 0.6250 0.8750 0.2500
63 O 0.5000 0.5000 0.5000
64 O 0.5000 0.0000 0.5000
65 O 0.3750 0.1250 0.7500
66 O 0.1250 0.3750 0.2500
67 O 0.0000 0.5000 0.5000
68 O 0.2500 0.8750 0.1250
69 O 0.6250 0.7500 0.8750
70 O 0.7500 0.1250 0.8750
71 O 0.5000 0.0000 0.0000
72 O 0.8750 0.6250 0.7500
73 O 0.3750 0.2500 0.1250
74 O 0.5000 0.5000 0.0000
75 O 0.0000 0.0000 0.0000
76 O 0.0000 0.0000 0.5000
77 O 0.2500 0.3750 0.6250
78 O 0.0000 0.5000 0.0000
79 O 0.8750 0.2500 0.6250
80 O 0.1250 0.7500 0.3750



(4)
Below is an optimized crystal structure of Dy6ReO12, with properties calculated at the PBE level.

Summary:
The total magnetization comes out at 1.0 μB per formula unit. As for the formation energy (no corrections): -3.187 eV per atom.

abc: 6.4813 6.4813 6.4813
angles: 98.69 98.69 98.69
Each line ends with the local moment (μB).
Positions (direct):
1 O 0.2954 0.0748 0.9638  0.02
2 O 0.9252 0.0362 0.7046  0.02
3 O 0.9638 0.2954 0.0748  0.02
4 O 0.0362 0.7046 0.9252  0.02
5 O 0.0748 0.9638 0.2954  0.02
6 O 0.8226 0.5669 0.4093  0.00
7 O 0.5907 0.1774 0.4331  0.00
8 O 0.4093 0.8226 0.5669  0.00
9 O 0.7046 0.9252 0.0362  0.02
10 O 0.5669 0.4093 0.8226  0.00
11 O 0.1774 0.4331 0.5907  0.00
12 O 0.4331 0.5907 0.1774  0.00
13 Re 0.0000 0.0000 0.0000  0.75
14 Dy 0.6850 0.8560 0.3894  0.01
15 Dy 0.8560 0.3894 0.6850  0.01
16 Dy 0.3894 0.6850 0.8560  0.01
17 Dy 0.3150 0.1440 0.6106  0.01
18 Dy 0.6106 0.3150 0.1440  0.01
19 Dy 0.1440 0.6106 0.3150  0.01



(5)
Below is an optimized crystal structure of DyRe2O8, with properties calculated at the PBE level.

Summary:
The total magnetization comes out at 0.0 μB per formula unit. As for the formation energy (no corrections): -2.044 eV per atom. The calculation puts the distance to the lowest polymorph of the same formula at 0.0 meV/atom.

abc: 6.7580 6.7579 6.7597
angles: 119.99 120.00 90.00
Positions (direct):
1 O 0.6432 0.3568 0.2863
2 O 0.3569 0.6432 0.7137
3 O 0.0705 0.3569 0.7137
4 O 0.3568 0.0705 0.7137
5 O 0.3568 0.6431 0.2863
6 O 0.6432 0.3568 0.7137
7 O 0.9295 0.6432 0.2863
8 O 0.6431 0.9295 0.2863
9 Re 0.7500 0.2500 0.5000
10 Re 0.2500 0.7500 0.5000
11 Dy 0.5000 0.5000 0.0000



(6)
Below is an optimized crystal structure of Dy3ReO7, with properties calculated at the PBE level.

Summary:
The total magnetization comes out at 2.0 μB per formula unit. As for the formation energy (no corrections): -2.922 eV per atom.

abc: 6.4456 6.4456 7.4485
angles: 90.00 90.00 109.25
Each line ends with the local moment (μB).
Positions (direct):
1 O 0.9315 0.0685 0.7500  0.02
2 O 0.6787 0.9259 0.4708  0.06
3 O 0.3213 0.0741 0.9708  0.06
4 O 0.6308 0.3692 0.2500  0.00
5 O 0.6367 0.3633 0.7500  0.00
6 O 0.0741 0.3213 0.4708  0.06
7 O 0.0685 0.9315 0.2500  0.02
8 O 0.0741 0.3213 0.0292  0.06
9 O 0.6787 0.9259 0.0292  0.06
10 O 0.3633 0.6367 0.2500  0.00
11 O 0.3213 0.0741 0.5292  0.06
12 O 0.3692 0.6308 0.7500  0.00
13 O 0.9259 0.6787 0.5292  0.06
14 O 0.9259 0.6787 0.9708  0.06
15 Dy 0.5336 0.0002 0.7500  0.04
16 Dy 0.5000 0.5000 0.0000  0.02
17 Dy 0.0002 0.5336 0.2500  0.04
18 Dy 0.9998 0.4664 0.7500  0.04
19 Dy 0.4664 0.9998 0.2500  0.04
20 Dy 0.5000 0.5000 0.5000  0.02
21 Re 0.0000 0.0000 0.0000  1.50
22 Re 0.0000 0.0000 0.5000  1.50



(7)
Below is an optimized crystal structure of Dy3Re5O12, with properties calculated at the PBE level.

Summary:
The total magnetization comes out at 0.7 μB per formula unit. As for the formation energy (no corrections): -1.502 eV per atom.

abc: 11.0613 11.0613 11.0613
angles: 109.47 109.47 109.47
Each line ends with the local moment (μB).
Positions (direct):
1 Re 0.2500 0.3750 0.6250  -0.62
2 Re 0.0000 0.0000 0.5000  1.32
3 Re 0.0000 0.5000 0.0000  1.32
4 Re 0.2500 0.8750 0.1250  -0.62
5 Re 0.8750 0.6250 0.7500  -0.62
6 Re 0.6250 0.7500 0.8750  -0.62
7 Re 0.5000 0.5000 0.0000  1.32
8 Re 0.8750 0.2500 0.6250  -0.62
9 Re 0.1250 0.3750 0.2500  -0.62
10 Re 0.0000 0.0000 0.0000  1.32
11 Re 0.5000 0.0000 0.0000  1.32
12 Re 0.3750 0.1250 0.7500  -0.62
13 Re 0.6250 0.8750 0.2500  -0.62
14 Re 0.3750 0.2500 0.1250  -0.62
15 Re 0.7500 0.6250 0.3750  -0.62
16 Re 0.5000 0.5000 0.5000  1.32
17 Re 0.7500 0.1250 0.8750  -0.62
18 Re 0.1250 0.7500 0.3750  -0.62
19 Re 0.0000 0.5000 0.5000  1.32
20 Re 0.5000 0.0000 0.5000  1.32
21 Dy 0.7500 0.3750 0.1250  0.02
22 Dy 0.7500 0.8750 0.6250  0.02
23 Dy 0.1250 0.8750 0.7500  0.02
24 Dy 0.3750 0.6250 0.2500  0.02
25 Dy 0.1250 0.2500 0.8750  0.02
26 Dy 0.6250 0.2500 0.3750  0.02
27 Dy 0.8750 0.1250 0.2500  0.02
28 Dy 0.6250 0.3750 0.7500  0.02
29 Dy 0.3750 0.7500 0.6250  0.02
30 Dy 0.2500 0.6250 0.8750  0.02
31 Dy 0.2500 0.1250 0.3750  0.02
32 Dy 0.8750 0.7500 0.1250  0.02
33 O 0.8999 0.8319 0.5377  0.00
34 O 0.3999 0.3622 0.5679  0.00
35 O 0.4623 0.6681 0.1001  0.00
36 O 0.9321 0.8319 0.7943  0.00
37 O 0.5377 0.2057 0.1378  0.00
38 O 0.5679 0.8622 0.3999  0.00
39 O 0.3319 0.7943 0.4321  0.00
40 O 0.8319 0.9321 0.2943  0.00
41 O 0.1378 0.4321 0.1001  0.00
42 O 0.0377 0.6378 0.7057  0.00
43 O 0.6001 0.6378 0.4321  0.00
44 O 0.8319 0.8999 0.0377  0.00
45 O 0.1681 0.1001 0.9623  0.00
46 O 0.0679 0.1681 0.2057  0.00
47 O 0.7943 0.3319 0.9321  0.00
48 O 0.2057 0.6681 0.0679  0.00
49 O 0.6681 0.4623 0.6001  0.00
50 O 0.6681 0.2057 0.5679  0.00
51 O 0.4321 0.1378 0.6001  0.00
52 O 0.1681 0.0679 0.7057  0.00
53 O 0.6001 0.9623 0.6681  0.00
54 O 0.5679 0.7057 0.6681  0.00
55 O 0.1001 0.1681 0.4623  0.00
56 O 0.9321 0.1001 0.6378  0.00
57 O 0.8622 0.2943 0.4623  0.00
58 O 0.2943 0.4321 0.8319  0.00
59 O 0.1001 0.9321 0.1378  0.00
60 O 0.9623 0.6001 0.1681  0.00
61 O 0.3999 0.0377 0.3319  0.00
62 O 0.0377 0.3999 0.8319  0.00
63 O 0.7057 0.5679 0.1681  0.00
64 O 0.3622 0.3999 0.0679  0.00
65 O 0.3622 0.9623 0.7943  0.00
66 O 0.9623 0.3622 0.2943  0.00
67 O 0.7943 0.4623 0.3622  0.00
68 O 0.4321 0.2943 0.3319  0.00
69 O 0.5377 0.3319 0.8999  0.00
70 O 0.4623 0.7943 0.8622  0.00
71 O 0.6378 0.6001 0.9321  0.00
72 O 0.2057 0.5377 0.6378  0.00
73 O 0.8622 0.5679 0.8999  0.00
74 O 0.1378 0.7057 0.5377  0.00
75 O 0.0679 0.8999 0.3622  0.00
76 O 0.8999 0.0679 0.8622  0.00
77 O 0.7057 0.1378 0.0377  0.00
78 O 0.3319 0.5377 0.3999  0.00
79 O 0.2943 0.8622 0.9623  0.00
80 O 0.6378 0.0377 0.2057  0.00



(8)
Below is an optimized crystal structure of DyReO4, with properties calculated at the PBE level.

Summary:
The total magnetization comes out at 1.0 μB per formula unit. As for the formation energy (no corrections): -2.201 eV per atom. The calculation puts the distance to the lowest polymorph of the same formula at 94.7 meV/atom.

abc: 4.0223 6.2959 7.3275
angles: 90.00 90.00 108.67
Each line ends with the local moment (μB).
Positions (direct):
1 O 0.7713 0.0421 0.2500  0.05
2 O 0.1339 0.7679 0.2500  0.03
3 O 0.8661 0.2321 0.7500  0.03
4 O 0.3992 0.2976 0.0624  0.04
5 O 0.3992 0.2976 0.4376  0.04
6 O 0.6008 0.7024 0.9376  0.04
7 O 0.6008 0.7024 0.5624  0.04
8 O 0.2287 0.9579 0.7500  0.05
9 Re 0.2950 0.0895 0.2500  0.74
10 Re 0.7050 0.9105 0.7500  0.74
11 Dy 0.5647 0.6298 0.2500  0.04
12 Dy 0.4353 0.3702 0.7500  0.04



(9)
Below is an optimized crystal structure of Dy2ReO8, with properties calculated at the PBE level.

Summary:
The total magnetization comes out at 0.0 μB per formula unit. As for the formation energy (no corrections): -1.825 eV per atom.

abc: 3.8062 4.9201 7.2108
angles: 105.14 105.30 90.00
Positions (direct):
1 O 0.7583 0.6982 0.5165
2 O 0.5438 0.4536 0.0875
3 O 0.9823 0.7851 0.9646
4 O 0.3700 0.9937 0.7400
5 O 0.2417 0.3018 0.4835
6 O 0.6300 0.0063 0.2600
7 O 0.4562 0.5464 0.9125
8 O 0.0177 0.2149 0.0354
9 Dy 0.1796 0.6740 0.3592
10 Dy 0.8204 0.3260 0.6408
11 Re 0.5000 0.0000 0.0000



(10)
Below is an optimized crystal structure of Dy3ReO6, with properties calculated at the PBE level.

Summary:
The total magnetization comes out at 2.1 μB per formula unit. As for the formation energy (no corrections): -2.858 eV per atom.

abc: 6.5369 6.5369 6.5369
angles: 98.37 98.37 98.37
Each line ends with the local moment (μB).
Positions (direct):
1 Dy 0.8884 0.7144 0.3976  0.02
2 Dy 0.1116 0.2856 0.6024  0.02
3 Dy 0.6024 0.1116 0.2856  0.02
4 Dy 0.7144 0.3976 0.8884  0.02
5 Dy 0.3976 0.8884 0.7144  0.02
6 Dy 0.2856 0.6024 0.1116  0.02
7 O 0.5800 0.4347 0.1949  0.02
8 O 0.9458 0.0616 0.3068  0.06
9 O 0.9384 0.6932 0.0542  0.06
10 O 0.0616 0.3068 0.9458  0.06
11 O 0.0542 0.9384 0.6932  0.06
12 O 0.4200 0.5653 0.8051  0.02
13 O 0.8051 0.4200 0.5653  0.02
14 O 0.5653 0.8051 0.4200  0.02
15 O 0.4347 0.1949 0.5800  0.02
16 O 0.3068 0.9458 0.0616  0.06
17 O 0.1949 0.5800 0.4347  0.02
18 O 0.6932 0.0542 0.9384  0.06
19 Re 0.0000 0.0000 0.0000  2.33
20 Re 0.5000 0.5000 0.5000  0.76



(11)
Below is an optimized crystal structure of DyReO4, with properties calculated at the PBE level.

Summary:
The total magnetization comes out at 2.0 μB per formula unit. As for the formation energy (no corrections): -2.296 eV per atom. The calculation puts the distance to the lowest polymorph of the same formula at 0.0 meV/atom.

abc: 5.3414 5.0653 6.5255
angles: 109.78 111.23 96.97
Each line ends with the local moment (μB).
Positions (direct):
1 O 0.7921 0.0063 0.5601  0.05
2 O 0.3554 0.2069 0.9187  0.10
3 O 0.9367 0.2882 0.0813  0.10
4 O 0.6446 0.7931 0.0813  0.10
5 O 0.2079 0.9937 0.4399  0.05
6 O 0.7320 0.4462 0.4399  0.05
7 O 0.0633 0.7118 0.9187  0.10
8 O 0.2680 0.5538 0.5601  0.05
9 Dy 0.6363 0.3863 0.7726  0.07
10 Dy 0.3637 0.6137 0.2274  0.07
11 Re 0.9060 0.1560 0.3120  1.40
12 Re 0.0940 0.8440 0.6880  1.40



(12)
Below is an optimized crystal structure of DyRe2O8, with properties calculated at the PBE level.

Summary:
The total magnetization comes out at 1.0 μB per formula unit. As for the formation energy (no corrections): -1.891 eV per atom. The calculation puts the distance to the lowest polymorph of the same formula at 152.8 meV/atom.

abc: 5.7943 6.3494 6.3494
angles: 59.39 78.49 78.49
Each line ends with the local moment (μB).
Positions (direct):
1 O 0.1894 0.9149 0.3300  0.03
2 O 0.2390 0.3535 0.3535  0.01
3 O 0.8106 0.0851 0.6700  0.03
4 O 0.7610 0.6465 0.6465  0.01
5 O 0.3551 0.8605 0.8605  0.00
6 O 0.8106 0.6700 0.0851  0.03
7 O 0.6449 0.1395 0.1395  0.00
8 O 0.1894 0.3300 0.9149  0.03
9 Re 0.6718 0.8075 0.8075  0.30
10 Re 0.3282 0.1925 0.1925  0.30
11 Dy 0.0000 0.0000 0.0000  0.08